DFT (PBE) results for a relaxed structure of LiBiH2F8.

```
LiBiH2F8
1.0
4.913 0.450 -0.057
0.487 4.898 -0.319
-0.059 -0.442 6.551
Li Bi H F
1 1 2 8
direct
0.000 0.000 0.500
0.000 0.000 0.000
0.240 0.440 0.638
0.760 0.560 0.362
0.212 0.813 0.233
0.733 0.736 0.995
0.787 0.251 0.249
0.788 0.187 0.767
0.267 0.264 0.005
0.213 0.749 0.751
0.750 0.728 0.458
0.250 0.272 0.542
```

## Properties
- calculated total energy (eV/atom) = -4.225